The following is a DFT calculation (PBE) of crystalline KSc2Mn at its relaxed geometry.

```
data_KSc2Mn
_chemical_formula_sum 'K1 Sc2 Mn1'
_cell_length_a 11.272
_cell_length_b 11.272
_cell_length_c 11.272
_cell_angle_alpha 16.53
_cell_angle_beta 16.53
_cell_angle_gamma 16.53
_space_group_name_H-M_alt 'P 1'
_space_group_IT_number 1
loop_
_space_group_symop_operation_xyz
'x,y,z'
loop_
_atom_site_label
_atom_site_type_symbol
_atom_site_fract_x
_atom_site_fract_y
_atom_site_fract_z
_atom_site_occupancy
K1 K 0.000 0.000 0.000 1
Sc1 Sc 0.435 0.435 0.435 1
Sc2 Sc 0.565 0.565 0.565 1
Mn1 Mn 0.500 0.500 0.500 1
```

Computed properties:
Energy, eV/cell: -19.40
Formation energy, eV per atom: 0.88
Offset from the most stable computed form, kJ per mole of atoms: 60.7
SG: R-3m